1.
## Ho2NpMnO8 (PBE with a Hubbard U)

Data for a relaxed Ho2NpMnO8 crystal.

Values from the calculation:
- Energy: -102.353 eV per formula unit
- Theoretical density: 7.35 g/cm3
- Space-group type: No. 2

```
Ho2NpMnO8
1.0
-0.201 4.484 -2.121
-1.511 -2.388 -4.085
-6.436 1.233 2.201
O Ho Np Mn
8 2 1 1
direct
0.201 0.793 0.804
0.799 0.207 0.196
0.839 0.163 0.744
0.297 0.292 0.000
0.713 0.714 0.500
0.287 0.286 0.500
0.703 0.708 0.000
0.161 0.837 0.256
0.532 0.469 0.733
0.468 0.531 0.267
0.000 0.000 0.000
0.000 0.000 0.500
```

***

2.
## HoNpMn2O6 (PBE with a Hubbard U)

Data for a relaxed HoNpMn2O6 crystal.

Values from the calculation:
- Energy: -84.447 eV per formula unit
- Theoretical density: 6.29 g/cm3
- Space-group type: No. 99

```
HoNpMn2O6
1.0
4.366 0.000 0.000
0.000 6.061 0.000
0.000 0.000 6.061
O Mn Ho Np
6 2 1 1
direct
0.739 0.756 0.756
0.739 0.244 0.756
0.739 0.756 0.244
0.151 0.500 0.500
0.739 0.244 0.244
0.191 0.000 0.000
0.918 0.000 0.500
0.918 0.500 0.000
0.630 0.500 0.500
0.683 0.000 0.000
```

***

3.
## HoMn2O5 (PBE with a Hubbard U)

Data for a relaxed HoMn2O5 crystal.

Values from the calculation:
- Energy: -62.024 eV per formula unit
- Theoretical density: 6.51 g/cm3
- Space-group type: No. 55

```
HoMn2O5
1.0
5.783 0.000 0.000
0.000 7.323 0.000
0.000 0.000 8.546
Mn Ho O
8 4 20
direct
0.500 0.088 0.848
0.747 0.500 0.000
0.500 0.912 0.152
0.500 0.588 0.652
0.500 0.412 0.348
0.253 0.500 0.000
0.747 0.000 0.500
0.253 0.000 0.500
0.000 0.363 0.670
0.000 0.637 0.330
0.000 0.863 0.830
0.000 0.137 0.170
0.500 0.349 0.929
0.269 0.500 0.500
0.239 0.108 0.707
0.761 0.108 0.707
0.239 0.392 0.207
0.731 0.000 0.000
0.761 0.392 0.207
0.000 0.164 0.442
0.500 0.849 0.571
0.761 0.608 0.793
0.500 0.151 0.429
0.000 0.336 0.942
0.000 0.664 0.058
0.239 0.892 0.293
0.761 0.892 0.293
0.500 0.651 0.071
0.269 0.000 0.000
0.000 0.836 0.558
0.239 0.608 0.793
0.731 0.500 0.500
```